# Pr12In4HgO3, relaxed, DFT PBE-GGA
# Formation energy without anion corrections = -0.953 eV/atom
# Spin magnetization = 0.000 μB/atom
# V = 1145.4 Å³/cell
data_Pr12In4HgO3
_symmetry_space_group_name_H-M 'I m -3 m'
_symmetry_Int_Tables_number 229
_symmetry_space_group_name_Hall '-I 4 2 3'
_cell_length_a 10.463
_cell_length_b 10.463
_cell_length_c 10.463
_cell_angle_alpha 90.00
_cell_angle_beta 90.00
_cell_angle_gamma 90.00
loop_
_atom_site_label
_atom_site_type_symbol
_atom_site_fract_x
_atom_site_fract_y
_atom_site_fract_z
_atom_site_occupancy
Pr1 Pr 0.000 0.000 0.273 1
Pr2 Pr 0.000 0.250 0.500 1
In1 In 0.250 0.250 0.250 1
Hg1 Hg 0.000 0.000 0.000 1
O1 O 0.000 0.000 0.500 1